The following is a PBE-GGA calculation of crystalline SmSeS2 at its relaxed geometry, from Alexandria via LeMat-Bulk.

Computed properties:
space group: Pmmn (59)
VASP energy: -20.487 eV/f.u.
density of states at the Fermi level: 0.544 states/eV/f.u.
uncorrected formation energy: -1.01 eV per atom

Unit cell a=4.3369 b=4.3487 c=9.5885 alpha=90.00 beta=90.00 gamma=90.00
With the nearest neighbours (Å) after each atom.
Element x y z (fractional)
1 Sm 0.2500 0.2500 0.1948  4 S 2.91-2.92, 5 Se 2.98-3.16
2 Sm 0.7500 0.7500 0.8052  4 S 2.91-2.92, 5 Se 2.98-3.16
3 Se 0.2500 0.2500 0.8840  5 Sm 2.98-3.16
4 Se 0.7500 0.7500 0.1160  5 Sm 2.98-3.16
5 S 0.2500 0.7500 0.3976  1 S 1.96
6 S 0.2500 0.7500 0.6021  1 S 1.96
7 S 0.7500 0.2500 0.3979  1 S 1.96
8 S 0.7500 0.2500 0.6024  1 S 1.96

=====

The following is a PBE-GGA calculation of crystalline Cs2CdS2 at its relaxed geometry, from Alexandria via LeMat-Bulk.

Computed properties:
space group: Cmc2_1 (36)
VASP energy: -15.321 eV/f.u.
uncorrected formation energy: -0.89 eV per atom

Unit cell a=9.1926 b=9.1926 c=8.7140 alpha=90.00 beta=90.00 gamma=151.43
With the nearest neighbours (Å) after each atom.
Element x y z (fractional)
1 Cs 0.0616 0.9384 0.5000  5 S 3.31-3.56, 2 Cd 3.55
2 Cs 0.2061 0.7939 0.8080  5 S 3.29-3.66
3 Cs 0.7939 0.2061 0.3080  5 S 3.29-3.66
4 Cs 0.9384 0.0616 0.0000  5 S 3.31-3.56, 2 Cd 3.55
5 Cd 0.4203 0.5797 0.6234  4 S 2.65-2.77
6 Cd 0.5797 0.4203 0.1234  4 S 2.65-2.77
7 S 0.1535 0.8465 0.1696  2 Cd 2.65
8 S 0.4549 0.5451 0.3132  2 Cd 2.77
9 S 0.5451 0.4549 0.8132  2 Cd 2.77
10 S 0.8465 0.1535 0.6696  2 Cd 2.65

=====

The following is a PBE-GGA calculation of crystalline AlFe3Ni at its relaxed geometry, from Alexandria via LeMat-Bulk.

Computed properties:
formation energy from the elements: 4.07 eV/f.u.
distance to the lowest polymorph of the same formula: 0 meV/atom
space group: Pm-3m (221)
VASP energy: -30.839 eV/f.u.
density of states at the Fermi level: 4.405 states/eV/f.u.

Unit cell a=4.3023 b=4.3023 c=4.3023 alpha=90.00 beta=90.00 gamma=90.00
With the nearest neighbours (Å) after each atom.
Element x y z (fractional)
1 Al 0.0000 0.0000 0.0000  12 Fe 3.04
2 Fe 0.0000 0.5000 0.5000  2 Ni 2.15
3 Fe 0.5000 0.0000 0.5000  2 Ni 2.15
4 Fe 0.5000 0.5000 0.0000  2 Ni 2.15
5 Ni 0.5000 0.5000 0.5000  6 Fe 2.15

=====

The following is a PBE-GGA calculation of crystalline Pr5Sm3Tm at its relaxed geometry, from Alexandria via LeMat-Bulk.

Computed properties:
formation energy from the elements: 2.28 eV/f.u.
distance to the lowest polymorph of the same formula: 0 meV/atom
space group: C2/c (15)
VASP energy: -40.246 eV/f.u.
density of states at the Fermi level: 11.606 states/eV/f.u.

Unit cell a=10.7211 b=10.7211 c=11.8586 alpha=121.41 beta=121.41 gamma=34.48
With the nearest neighbours (Å) after each atom.
Element x y z (fractional)
1 Pr 0.0357 0.6887 0.3437  2 Sm 3.16-3.53
2 Pr 0.0816 0.9184 0.7500  2 Tm 3.11-3.24
3 Pr 0.1375 0.5043 0.6688  4 Sm 3.49-3.83, 5 Pr 3.53-3.69, 1 Tm 3.69
4 Pr 0.3113 0.9643 0.1563  2 Sm 3.16-3.53
5 Pr 0.4957 0.8625 0.8312  4 Sm 3.49-3.83, 5 Pr 3.53-3.69, 1 Tm 3.69
6 Pr 0.5043 0.1375 0.1688  4 Sm 3.49-3.83, 5 Pr 3.53-3.69, 1 Tm 3.69
7 Pr 0.6887 0.0357 0.8437  2 Sm 3.16-3.53
8 Pr 0.8625 0.4957 0.3312  4 Sm 3.49-3.83, 5 Pr 3.53-3.69, 1 Tm 3.69
9 Pr 0.9184 0.0816 0.2500  2 Tm 3.11-3.24
10 Pr 0.9643 0.3113 0.6563  2 Sm 3.16-3.53
11 Sm 0.0989 0.5494 0.9754  1 Tm 3.39, 2 Sm 3.41-3.74, 4 Pr 3.49-3.64
12 Sm 0.4506 0.9011 0.5246  1 Tm 3.39, 2 Sm 3.41-3.74, 4 Pr 3.49-3.64
13 Sm 0.5000 0.5000 0.0000  2 Tm 3.02, 2 Pr 3.16
14 Sm 0.5000 0.5000 0.5000  2 Tm 3.02, 2 Pr 3.16
15 Sm 0.5494 0.0989 0.4754  1 Tm 3.39, 2 Sm 3.41-3.74, 4 Pr 3.49-3.64
16 Sm 0.9011 0.4506 0.0246  1 Tm 3.39, 2 Sm 3.41-3.74, 4 Pr 3.49-3.64
17 Tm 0.4080 0.5920 0.2500  2 Sm 3.02, 2 Pr 3.11-3.24
18 Tm 0.5920 0.4080 0.7500  2 Sm 3.02, 2 Pr 3.11-3.24

=====

The following is a PBE-GGA calculation of crystalline Tm7MgIn4 at its relaxed geometry, from Alexandria via LeMat-Bulk.

Computed properties:
formation energy from the elements: -1.11 eV/f.u.
space group: C2/m (12)
VASP energy: -44.959 eV/f.u.
density of states at the Fermi level: 12.959 states/eV/f.u.

Unit cell a=7.7817 b=7.7817 c=9.4174 alpha=117.93 beta=117.93 gamma=42.78
With the nearest neighbours (Å) after each atom.
Element x y z (fractional)
1 Tm 0.0000 0.0000 0.0000  2 Mg 2.84, 2 In 2.97
2 Tm 0.2587 0.2587 0.7247  4 In 2.96-3.15, 1 Mg 3.14, 1 Tm 3.28
3 Tm 0.2998 0.2998 0.1239  3 In 3.34-3.49, 6 Tm 3.47-3.53, 1 Mg 3.63
4 Tm 0.4247 0.4247 0.5832  5 In 3.11-3.43, 2 Tm 3.27-3.28
5 Tm 0.5753 0.5753 0.4168  5 In 3.11-3.43, 2 Tm 3.27-3.28
6 Tm 0.7002 0.7002 0.8761  3 In 3.34-3.49, 6 Tm 3.47-3.53, 1 Mg 3.63
7 Tm 0.7413 0.7413 0.2753  4 In 2.96-3.15, 1 Mg 3.14, 1 Tm 3.28
8 Mg 0.5000 0.5000 0.0000  4 Tm 2.84-3.14
9 In 0.0452 0.0452 0.6952  4 Tm 2.96-3.25, 2 In 3.07-3.22
10 In 0.1787 0.1787 0.3458  5 Tm 2.97-3.15, 1 In 3.07
11 In 0.8213 0.8213 0.6542  5 Tm 2.97-3.15, 1 In 3.07
12 In 0.9548 0.9548 0.3048  4 Tm 2.96-3.25, 2 In 3.07-3.22

=====

The following is a PBE-GGA calculation of crystalline Pm2Ga2Te7 at its relaxed geometry, from Alexandria via LeMat-Bulk.

Computed properties:
space group: C2/m (12)
VASP energy: -44.561 eV/f.u.
uncorrected formation energy: -0.64 eV per atom

Unit cell a=8.0150 b=8.0150 c=7.4091 alpha=101.80 beta=101.80 gamma=108.94
With the nearest neighbours (Å) after each atom.
Element x y z (fractional)
1 Pm 0.2036 0.7964 0.0000  6 Te 3.12-3.23
2 Pm 0.7964 0.2036 0.0000  6 Te 3.12-3.23
3 Ga 0.2443 0.2443 0.6126  4 Te 2.60-2.79
4 Ga 0.7557 0.7557 0.3874  4 Te 2.60-2.79
5 Te 0.0298 0.3862 0.7470  1 Ga 2.60
6 Te 0.1642 0.1642 0.2280  1 Ga 2.68
7 Te 0.3862 0.0298 0.7470  1 Ga 2.60
8 Te 0.5000 0.5000 0.5000  2 Ga 2.79, 2 Te 3.07
9 Te 0.6138 0.9702 0.2530  1 Ga 2.60
10 Te 0.8358 0.8358 0.7720  1 Ga 2.68
11 Te 0.9702 0.6138 0.2530  1 Ga 2.60